a.
An optimized crystal structure of CeGa2Si. Source: Alexandria via LeMat-Bulk, functional PBE.

a b c (Å): 5.6111 5.6111 5.6111
angles (deg): 45.46 45.46 45.46
Closest atoms and distances in Å follow each position.
Atoms (fractional coordinates):
Ce1 0.0000 0.0000 0.0000  8 Ga 3.06-3.27
Ga1 0.2168 0.2168 0.2168  3 Si 2.62, 3 Ga 2.92
Ga2 0.7832 0.7832 0.7832  3 Si 2.62, 3 Ga 2.92
Si1 0.5000 0.5000 0.5000  6 Ga 2.62

magnetization: 0.3 μB/f.u.
space group: R-3m
volume: 81.77 Å³/f.u.



b.
An optimized crystal structure of CeGa2Si. Source: Alexandria via LeMat-Bulk, functional PBE.

a b c (Å): 6.5069 6.5069 6.5069
angles (deg): 99.64 99.64 99.64
Closest atoms and distances in Å follow each position.
Atoms (fractional coordinates):
Ce1 0.0000 0.0000 0.0000  2 Ce 2.89
Ce2 0.3141 0.3141 0.3141  1 Ce 2.89, 6 Ga 3.14, 3 Si 3.17
Ce3 0.6859 0.6859 0.6859  1 Ce 2.89, 6 Ga 3.14, 3 Si 3.17
Ga1 0.2353 0.5000 0.7647  1 Si 2.34
Ga2 0.2353 0.7647 0.5000  1 Si 2.34
Ga3 0.5000 0.2353 0.7647  1 Si 2.34
Ga4 0.5000 0.7647 0.2353  1 Si 2.34
Ga5 0.7647 0.2353 0.5000  1 Si 2.34
Ga6 0.7647 0.5000 0.2353  1 Si 2.34
Si1 0.0000 0.0000 0.5000  2 Ga 2.34
Si2 0.0000 0.5000 0.0000  2 Ga 2.34
Si3 0.5000 0.0000 0.0000  2 Ga 2.34

magnetization: 1.0 μB/f.u.
space group: R-3m
volume: 87.43 Å³/f.u.



c.
An optimized crystal structure of CeGa2Si. Source: Alexandria via LeMat-Bulk, functional PBE.

a b c (Å): 4.2177 4.2177 4.4302
angles (deg): 90.00 90.00 90.00
Closest atoms and distances in Å follow each position.
Atoms (fractional coordinates):
Ce1 0.0000 0.0000 0.0000  4 Si 2.98, 8 Ga 3.06
Ga1 0.0000 0.5000 0.5000  4 Ga 2.98, 4 Si 3.06, 4 Ce 3.06
Ga2 0.5000 0.0000 0.5000  4 Ga 2.98, 4 Si 3.06, 4 Ce 3.06
Si1 0.5000 0.5000 0.0000  4 Ce 2.98, 8 Ga 3.06

magnetization: 0.0 μB/f.u.
space group: P4/mmm
volume: 78.81 Å³/f.u.



Stability check: which of them is least stable? b.



a.
An optimized crystal structure of Ce3Ga2Si4. Source: Alexandria via LeMat-Bulk, functional PBE.

a b c (Å): 5.8686 5.8686 8.2671
angles (deg): 99.50 99.50 41.17
Closest atoms and distances in Å follow each position.
Atoms (fractional coordinates):
Ce1 0.0000 0.0000 0.0000  8 Si 3.14-3.21, 4 Ga 3.16
Ce2 0.3352 0.3352 0.3297  8 Si 3.10-3.18, 4 Ga 3.14-3.21
Ce3 0.6648 0.6648 0.6703  8 Si 3.10-3.18, 4 Ga 3.14-3.21
Ga1 0.3885 0.3885 0.7235  3 Si 2.40
Ga2 0.6115 0.6115 0.2765  3 Si 2.40
Si1 0.0581 0.0581 0.3948  1 Si 2.33, 2 Ga 2.40
Si2 0.2767 0.2767 0.9486  2 Si 2.35, 1 Ga 2.40
Si3 0.7233 0.7233 0.0514  2 Si 2.35, 1 Ga 2.40
Si4 0.9419 0.9419 0.6052  1 Si 2.33, 2 Ga 2.40

magnetization: 0.5 μB/f.u.
space group: C2/m
volume: 184.50 Å³/f.u.



b.
An optimized crystal structure of Ce3Ga2Si4. Source: Alexandria via LeMat-Bulk, functional PBE.

a b c (Å): 5.9185 5.9185 8.6812
angles (deg): 110.79 110.79 40.55
Closest atoms and distances in Å follow each position.
Atoms (fractional coordinates):
Ce1 0.0000 0.0000 0.0000  8 Si 3.13-3.25, 4 Ga 3.35
Ce2 0.3817 0.3817 0.3160  7 Si 2.97-3.14, 3 Ga 3.10-3.23, 1 Ce 3.28
Ce3 0.6183 0.6183 0.6840  7 Si 2.97-3.14, 3 Ga 3.10-3.23, 1 Ce 3.28
Ga1 0.3286 0.3286 0.6891  3 Si 2.45-2.53
Ga2 0.6714 0.6714 0.3109  3 Si 2.45-2.53
Si1 0.0969 0.0969 0.4009  2 Ga 2.45
Si2 0.2743 0.2743 0.9466  2 Si 2.40, 1 Ga 2.53
Si3 0.7257 0.7257 0.0534  2 Si 2.40, 1 Ga 2.53
Si4 0.9031 0.9031 0.5991  2 Ga 2.45

magnetization: 1.7 μB/f.u.
space group: C2/m
volume: 182.98 Å³/f.u.



Stability check: which of them is least stable? b.



a.
An optimized crystal structure of CeTmGaSi. Source: Alexandria via LeMat-Bulk, functional PBE.

a b c (Å): 3.9701 5.8235 5.8235
angles (deg): 43.51 90.00 90.00
Closest atoms and distances in Å follow each position.
Atoms (fractional coordinates):
Ce1 0.0000 0.0000 0.0000  3 Si 3.03-3.21, 4 Ga 3.03
Tm1 0.5000 0.7178 0.7178  4 Si 3.01, 3 Ga 3.13-3.14
Ga1 0.5000 0.4279 0.4279  2 Si 2.55
Si1 0.0000 0.2802 0.2802  2 Ga 2.55

magnetization: 1.1 μB/f.u.
space group: Amm2
volume: 92.70 Å³/f.u.



b.
An optimized crystal structure of CeTmGaSi. Source: Alexandria via LeMat-Bulk, functional PBE.

a b c (Å): 5.0223 5.0223 5.0223
angles (deg): 60.00 60.00 60.00
Closest atoms and distances in Å follow each position.
Atoms (fractional coordinates):
Ce1 0.0000 0.0000 0.0000  4 Ga 3.08, 4 Si 3.08
Tm1 0.5000 0.5000 0.5000  4 Ga 3.08, 4 Si 3.08
Ga1 0.7500 0.7500 0.7500  4 Ce 3.08, 4 Tm 3.08
Si1 0.2500 0.2500 0.2500  4 Ce 3.08, 4 Tm 3.08

magnetization: 0.8 μB/f.u.
space group: F-43m
volume: 89.58 Å³/f.u.



Stability check: which of them is least stable? b.



a.
An optimized crystal structure of CeYGaSi. Source: Alexandria via LeMat-Bulk, functional PBE.

a b c (Å): 3.9929 5.8825 5.8825
angles (deg): 43.38 90.00 90.00
Closest atoms and distances in Å follow each position.
Atoms (fractional coordinates):
Ce1 0.0000 0.0000 0.0000  4 Ga 3.06, 3 Si 3.08-3.23
Y1 0.5000 0.7170 0.7170  4 Si 3.04, 3 Ga 3.16-3.17
Ga1 0.5000 0.4277 0.4277  2 Si 2.55
Si1 0.0000 0.2820 0.2820  2 Ga 2.55

magnetization: 1.2 μB/f.u.
space group: Amm2
volume: 94.89 Å³/f.u.



b.
An optimized crystal structure of CeYGaSi. Source: Alexandria via LeMat-Bulk, functional PBE.

a b c (Å): 5.0664 5.0664 5.0664
angles (deg): 60.00 60.00 60.00
Closest atoms and distances in Å follow each position.
Atoms (fractional coordinates):
Ce1 0.0000 0.0000 0.0000  4 Ga 3.10, 4 Si 3.10
Y1 0.5000 0.5000 0.5000  4 Ga 3.10, 4 Si 3.10
Ga1 0.7500 0.7500 0.7500  4 Ce 3.10, 4 Y 3.10
Si1 0.2500 0.2500 0.2500  4 Ce 3.10, 4 Y 3.10

magnetization: 0.9 μB/f.u.
space group: F-43m
volume: 91.95 Å³/f.u.



Stability check: which of them is least stable? b.



a.
An optimized crystal structure of Ce2SmGa. Source: Alexandria via LeMat-Bulk, functional PBE.

a b c (Å): 4.6936 6.3962 7.0244
angles (deg): 90.00 90.00 90.00
Closest atoms and distances in Å follow each position.
Atoms (fractional coordinates):
Ce1 0.2500 0.0331 0.1090  3 Ce 2.77-2.83, 2 Ga 3.10
Ce2 0.2500 0.4669 0.1090  3 Ce 2.77-2.83, 2 Ga 3.10
Ce3 0.7500 0.5331 0.8910  3 Ce 2.77-2.83, 2 Ga 3.10
Ce4 0.7500 0.9669 0.8910  3 Ce 2.77-2.83, 2 Ga 3.10
Sm1 0.2500 0.2500 0.5974  4 Ga 3.06-3.25
Sm2 0.7500 0.7500 0.4026  4 Ga 3.06-3.25
Ga1 0.2500 0.7500 0.6811  4 Sm 3.06-3.25, 4 Ce 3.10
Ga2 0.7500 0.2500 0.3189  4 Sm 3.06-3.25, 4 Ce 3.10

magnetization: 0.0 μB/f.u.
space group: Pmmn
volume: 105.44 Å³/f.u.



b.
An optimized crystal structure of Ce2SmGa. Source: Alexandria via LeMat-Bulk, functional PBE.

a b c (Å): 5.3247 5.3247 5.3247
angles (deg): 60.00 60.00 60.00
Closest atoms and distances in Å follow each position.
Atoms (fractional coordinates):
Ce1 0.2500 0.2500 0.2500  4 Ga 3.26, 4 Sm 3.26
Ce2 0.7500 0.7500 0.7500  4 Ga 3.26, 4 Sm 3.26
Sm1 0.0000 0.0000 0.0000  8 Ce 3.26
Ga1 0.5000 0.5000 0.5000  8 Ce 3.26

magnetization: 1.3 μB/f.u.
space group: Fm-3m
volume: 106.75 Å³/f.u.



c.
An optimized crystal structure of Ce2SmGa. Source: Alexandria via LeMat-Bulk, functional PBE.

a b c (Å): 4.5471 4.5471 4.9898
angles (deg): 90.00 90.00 90.00
Closest atoms and distances in Å follow each position.
Atoms (fractional coordinates):
Ce1 0.0000 0.5000 0.0000  4 Ce 3.22, 4 Sm 3.38, 4 Ga 3.38
Ce2 0.5000 0.0000 0.0000  4 Ce 3.22, 4 Sm 3.38, 4 Ga 3.38
Sm1 0.0000 0.0000 0.5000  4 Ga 3.22, 8 Ce 3.38
Ga1 0.5000 0.5000 0.5000  4 Sm 3.22, 8 Ce 3.38

magnetization: 1.4 μB/f.u.
space group: P4/mmm
volume: 103.17 Å³/f.u.



d.
An optimized crystal structure of Ce2SmGa. Source: Alexandria via LeMat-Bulk, functional PBE.

a b c (Å): 3.8788 3.8788 7.4097
angles (deg): 90.00 90.00 90.00
Closest atoms and distances in Å follow each position.
Atoms (fractional coordinates):
Ce1 0.0000 0.0000 0.1896  1 Ce 2.81, 4 Ga 3.08
Ce2 0.0000 0.0000 0.8104  1 Ce 2.81, 4 Ga 3.08
Sm1 0.5000 0.5000 0.5000  8 Ce 3.58, 2 Ga 3.70, 4 Sm 3.88
Ga1 0.5000 0.5000 0.0000  8 Ce 3.08

magnetization: 0.7 μB/f.u.
space group: P4/mmm
volume: 111.48 Å³/f.u.



Stability check: which of them is least stable? b.



a.
An optimized crystal structure of CeSmGa4. Source: Alexandria via LeMat-Bulk, functional PBE.

a b c (Å): 5.5919 5.5919 5.5919
angles (deg): 60.00 60.00 60.00
Closest atoms and distances in Å follow each position.
Atoms (fractional coordinates):
Ce1 0.0000 0.0000 0.0000  12 Ga 3.28, 4 Sm 3.42
Sm1 0.2500 0.2500 0.2500  12 Ga 3.28, 4 Ce 3.42
Ga1 0.1237 0.6254 0.6254  6 Ga 2.79-2.81
Ga2 0.6254 0.1237 0.6254  6 Ga 2.79-2.81
Ga3 0.6254 0.6254 0.1237  6 Ga 2.79-2.81
Ga4 0.6254 0.6254 0.6254  6 Ga 2.79-2.81

magnetization: 0.9 μB/f.u.
space group: F-43m
volume: 123.64 Å³/f.u.



b.
An optimized crystal structure of CeSmGa4. Source: Alexandria via LeMat-Bulk, functional PBE.

a b c (Å): 4.2656 4.2656 8.4043
angles (deg): 90.00 90.00 120.00
Closest atoms and distances in Å follow each position.
Atoms (fractional coordinates):
Ce1 0.0000 0.0000 0.0000  12 Ga 3.22
Sm1 0.0000 0.0000 0.5000  12 Ga 3.25
Ga1 0.3333 0.6667 0.2477  3 Ga 2.46
Ga2 0.3333 0.6667 0.7523  3 Ga 2.46
Ga3 0.6667 0.3333 0.2477  3 Ga 2.46
Ga4 0.6667 0.3333 0.7523  3 Ga 2.46

magnetization: 0.6 μB/f.u.
space group: P6/mmm
volume: 132.43 Å³/f.u.



Stability check: which of them is least stable? a.



a.
An optimized crystal structure of CeSmGa. Source: Alexandria via LeMat-Bulk, functional PBE.

a b c (Å): 4.9278 4.9278 3.6711
angles (deg): 90.00 90.00 120.00
Closest atoms and distances in Å follow each position.
Atoms (fractional coordinates):
Ce1 0.0000 0.0000 0.0000  3 Ga 3.10, 3 Sm 3.18
Sm1 0.6667 0.3333 0.3860  3 Ga 3.03, 3 Ce 3.18
Ga1 0.3333 0.6667 0.6677  3 Sm 3.03, 3 Ce 3.10

magnetization: 0.7 μB/f.u.
space group: P3m1
volume: 77.20 Å³/f.u.



b.
An optimized crystal structure of CeSmGa. Source: Alexandria via LeMat-Bulk, functional PBE.

a b c (Å): 6.6135 6.6135 6.6135
angles (deg): 147.75 147.75 46.25
Closest atoms and distances in Å follow each position.
Atoms (fractional coordinates):
Ce1 0.0000 0.0000 0.0000  4 Ga 3.15, 1 Sm 3.52
Sm1 0.7105 0.7105 0.0000  4 Ga 3.13
Ga1 0.3534 0.3534 0.0000  4 Sm 3.13, 4 Ce 3.15

magnetization: 1.3 μB/f.u.
space group: I4mm
volume: 82.07 Å³/f.u.



c.
An optimized crystal structure of CeSmGa. Source: Alexandria via LeMat-Bulk, functional PBE.

a b c (Å): 5.0192 5.0192 5.0192
angles (deg): 60.00 60.00 60.00
Closest atoms and distances in Å follow each position.
Atoms (fractional coordinates):
Ce1 0.0000 0.0000 0.0000  4 Ga 3.07
Sm1 0.5000 0.5000 0.5000  4 Ga 3.07
Ga1 0.7500 0.7500 0.7500  4 Sm 3.07, 4 Ce 3.07

magnetization: 1.1 μB/f.u.
space group: F-43m
volume: 89.41 Å³/f.u.



Stability check: which of them is least stable? c.



a.
An optimized crystal structure of CeSmGa. Source: Alexandria via LeMat-Bulk, functional PBE.

a b c (Å): 8.6008 8.6008 5.1984
angles (deg): 90.00 90.00 157.21
Closest atoms and distances in Å follow each position.
Atoms (fractional coordinates):
Ce1 0.2412 0.7588 0.7500  4 Ga 3.11-3.48, 6 Ce 3.12-3.40, 2 Sm 3.44
Ce2 0.7588 0.2412 0.2500  4 Ga 3.11-3.48, 6 Ce 3.12-3.40, 2 Sm 3.44
Sm1 0.4363 0.5637 0.2500  6 Ga 3.18-3.31, 4 Sm 3.37-3.40, 2 Ce 3.44
Sm2 0.5637 0.4363 0.7500  6 Ga 3.18-3.31, 4 Sm 3.37-3.40, 2 Ce 3.44
Ga1 0.1044 0.8956 0.2500  4 Ce 3.11-3.48, 6 Sm 3.18-3.31, 2 Ga 3.40
Ga2 0.8956 0.1044 0.7500  4 Ce 3.11-3.48, 6 Sm 3.18-3.31, 2 Ga 3.40

magnetization: 0.0 μB/f.u.
space group: Cmcm
volume: 74.49 Å³/f.u.



b.
An optimized crystal structure of CeSmGa. Source: Alexandria via LeMat-Bulk, functional PBE.

a b c (Å): 9.5430 9.5430 9.5430
angles (deg): 160.54 146.20 39.30
Closest atoms and distances in Å follow each position.
Atoms (fractional coordinates):
Ce1 0.2450 0.0000 0.2450  2 Ce 2.72-2.83
Ce2 0.7550 0.0000 0.7550  2 Ce 2.72-2.83
Sm1 0.1765 0.6765 0.5000  5 Ga 3.07-3.24, 2 Sm 3.23
Sm2 0.8235 0.3235 0.5000  5 Ga 3.07-3.24, 2 Sm 3.23
Ga1 0.3471 0.8471 0.5000  5 Sm 3.07-3.24, 2 Ce 3.09, 2 Ga 3.23
Ga2 0.6529 0.1529 0.5000  5 Sm 3.07-3.24, 2 Ce 3.09, 2 Ga 3.23

magnetization: 0.6 μB/f.u.
space group: Immm
volume: 80.45 Å³/f.u.



Stability check: which of them is least stable? b.